The following is a DFT calculation (PBEsol) of crystalline Nb2AlHg at its relaxed geometry.

a = 6.554 Å, b = 6.554 Å, c = 6.554 Å
α = 90.00°, β = 90.00°, γ = 90.00°
Space group Fm-3m (No. 225)
One atom of each set of equivalent atoms:
1 Nb 0.250 0.250 0.250 [8 per cell]
2 Al 0.000 0.000 0.000 [4 per cell]
3 Hg 0.000 0.000 0.500 [4 per cell]

**Formation energy**: 60 kJ/mol of formula units
**DOS at the Fermi energy**: 0.65 states/eV/atom

=====

The following is a DFT calculation (PBEsol) of crystalline MgBeW2 at its relaxed geometry.

a = 3.184 Å, b = 3.184 Å, c = 6.091 Å
α = 90.00°, β = 90.00°, γ = 90.00°
Space group P4mm (No. 99)
One atom of each set of equivalent atoms:
1 Mg 0.000 0.000 0.000 [1 per cell]
2 Be 0.500 0.500 0.736 [1 per cell]
3 W 0.000 0.000 0.521 [1 per cell]
4 W 0.500 0.500 0.312 [1 per cell]

**Formation energy**: 159 kJ/mol of formula units
**DOS at the Fermi energy**: 0.89 states/eV/atom

=====

The following is a DFT calculation (PBEsol) of crystalline Zn2Ga2I at its relaxed geometry.

a = 4.383 Å, b = 4.383 Å, c = 11.046 Å
α = 90.00°, β = 90.00°, γ = 90.00°
Space group I4/mmm (No. 139)
One atom of each set of equivalent atoms:
1 Zn 0.000 0.000 0.111 [4 per cell]
2 Ga 0.000 0.500 0.250 [4 per cell]
3 I 0.000 0.000 0.500 [2 per cell]

**Energy relative to the elements, uncorrected**: 132.2 meV per atom
**DOS at the Fermi energy**: 0.43 states/eV/atom